(1)
DFT (PBE) results for TbSmTmIn after structural relaxation.

Summary:
**Energy relative to the elements**: -148 meV/atom

Cell: 5.469 5.469 5.469 Å, 60.00 60.00 60.00°
Fractional positions:
Tb 0.000 0.000 0.000
Sm 0.500 0.500 0.500
Tm 0.250 0.250 0.250
In 0.750 0.750 0.750

---

(2)
DFT (PBE) results for Ac4PmPr15 after structural relaxation.

Summary:
**Energy relative to the elements**: 20 meV/atom

Cell: 5.331 5.331 26.564 Å, 90.00 90.00 90.00°
Fractional positions:
Ac 0.000 0.000 0.101
Ac 0.000 0.000 0.302
Ac 0.000 0.000 0.698
Ac 0.000 0.000 0.899
Pm 0.000 0.000 0.500
Pr 0.000 0.500 0.000
Pr 0.000 0.500 0.201
Pr 0.000 0.500 0.403
Pr 0.000 0.500 0.597
Pr 0.000 0.500 0.799
Pr 0.500 0.000 0.000
Pr 0.500 0.000 0.201
Pr 0.500 0.000 0.403
Pr 0.500 0.000 0.597
Pr 0.500 0.000 0.799
Pr 0.500 0.500 0.101
Pr 0.500 0.500 0.303
Pr 0.500 0.500 0.500
Pr 0.500 0.500 0.697
Pr 0.500 0.500 0.899

---

(3)
DFT (PBE) results for K2SrReO6 after structural relaxation.

Summary:
**Raw formation energy**: -1.86 eV/atom

Cell: 6.147 6.152 6.171 Å, 119.80 119.86 90.01°
Fractional positions:
K 0.000 0.000 0.000
K 0.500 0.498 0.999
Sr 0.244 0.743 0.487
Re 0.750 0.250 0.498
O 0.506 0.438 0.455
O 0.524 0.007 0.045
O 0.533 0.020 0.486
O 0.939 0.447 0.453
O 0.960 0.475 0.918
O 0.966 0.032 0.486

---

(4)
DFT (PBE) results for La2TbIn after structural relaxation.

Summary:
**Energy relative to the elements**: -274 meV/atom

Cell: 7.211 7.211 5.614 Å, 90.00 90.00 121.14°
Fractional positions:
La 0.146 0.305 0.250
La 0.305 0.146 0.750
La 0.695 0.854 0.250
La 0.854 0.695 0.750
Tb 0.325 0.675 0.750
Tb 0.675 0.325 0.250
In 0.178 0.822 0.250
In 0.822 0.178 0.750

---

(5)
DFT (PBE) results for SmTm3Se6 after structural relaxation.

Summary:
**Raw formation energy**: -1.87 eV/atom

Cell: 11.512 4.086 11.780 Å, 90.00 109.24 90.00°
Fractional positions:
Sm 0.047 0.250 0.195
Sm 0.953 0.750 0.805
Tm 0.159 0.250 0.585
Tm 0.318 0.750 0.000
Tm 0.437 0.250 0.333
Tm 0.563 0.750 0.667
Tm 0.682 0.250 0.000
Tm 0.841 0.750 0.415
Se 0.083 0.750 0.405
Se 0.116 0.250 0.966
Se 0.196 0.750 0.750
Se 0.260 0.750 0.226
Se 0.394 0.250 0.560
Se 0.479 0.250 0.114
Se 0.521 0.750 0.886
Se 0.606 0.750 0.440
Se 0.740 0.250 0.774
Se 0.804 0.250 0.250
Se 0.884 0.750 0.034
Se 0.917 0.250 0.595

---

(6)
DFT (PBE) results for Re3SbBr after structural relaxation.

Summary:
**Raw formation energy**: 2.33 eV/atom

Cell: 4.632 4.632 4.632 Å, 90.00 90.00 90.00°
Fractional positions:
Re 0.000 0.000 0.500
Re 0.000 0.500 0.000
Re 0.500 0.000 0.000
Sb 0.500 0.500 0.500
Br 0.000 0.000 0.000

---

| no. | VASP energy (eV per atom) |
| --- | --- |
| 1 | -4.288 |
| 2 | -4.624 |
| 3 | -6.465 |
| 4 | -4.580 |
| 5 | -5.772 |
| 6 | -6.295 |